Material: K3TiHg
Method: DFT, PBE
State: optimized geometry

Geometry as CIF:
```
data_K3TiHg
_space_group_name_H-M_alt 'P m -3 m'
_space_group_IT_number 221
_space_group_name_Hall '-P 4 2 3'
_cell_length_a 6.8005
_cell_length_b 6.8005
_cell_length_c 6.8005
_cell_angle_alpha 90.00
_cell_angle_beta 90.00
_cell_angle_gamma 90.00
loop_
_atom_site_label
_atom_site_type_symbol
_atom_site_fract_x
_atom_site_fract_y
_atom_site_fract_z
_atom_site_occupancy
K1 K 0.0000 0.0000 0.5000 1
Ti1 Ti 0.0000 0.0000 0.0000 1
Hg1 Hg 0.5000 0.5000 0.5000 1
```

## Properties
final energy: -1.478 eV per atom
D(E_F): 5.7 states/eV/cell
formation energy: 0.820 eV per atom